Record 1
DFT (GGA-PBEsol) results for a geometry-optimized ScTlCd structure.

```
data_ScTlCd
_chemical_formula_sum 'Sc1 Tl1 Cd1'
_space_group_name_H-M_alt 'P 1'
_space_group_IT_number 1
_cell_length_a 3.2955
_cell_length_b 4.8085
_cell_length_c 4.8085
_cell_angle_alpha 120.00
_cell_angle_beta 90.00
_cell_angle_gamma 90.00
loop_
_space_group_symop_operation_xyz
'x,y,z'
loop_
_atom_site_label
_atom_site_type_symbol
_atom_site_fract_x
_atom_site_fract_y
_atom_site_fract_z
_atom_site_occupancy
Cd1 Cd 0.1089 0.0000 0.0000 1
Sc1 Sc 0.6555 0.6667 0.3333 1
Tl1 Tl 0.2356 0.3333 0.6667 1
```

Properties
- crystal system = trigonal
- DFT formation energy (eV per formula unit) = -0.64
- SG = P3m1, No. 156
- DOS(E_F) (states/eV/cell) = 2.16



Record 2
DFT (GGA-PBEsol) results for a geometry-optimized ZnMoPO2 structure.

```
data_ZnMoPO2
_chemical_formula_sum 'Zn1 Mo1 P1 O2'
_space_group_name_H-M_alt 'P 1'
_space_group_IT_number 1
_cell_length_a 3.6589
_cell_length_b 3.6589
_cell_length_c 4.9093
_cell_angle_alpha 90.00
_cell_angle_beta 90.00
_cell_angle_gamma 90.00
loop_
_space_group_symop_operation_xyz
'x,y,z'
loop_
_atom_site_label
_atom_site_type_symbol
_atom_site_fract_x
_atom_site_fract_y
_atom_site_fract_z
_atom_site_occupancy
O1 O 0.0000 0.5000 0.0000 1
O2 O 0.5000 0.0000 0.0000 1
Zn1 Zn 0.0000 0.0000 0.0000 1
Mo1 Mo 0.5000 0.5000 0.5000 1
P1 P 0.0000 0.0000 0.5000 1
```

Properties
- crystal system = tetragonal
- energy above the lowest structure with this stoichiometry (kcal/mol of atoms) = 30.54
- raw formation energy (eV per atom) = 0.33
- SG = P4/mmm, No. 123
- DOS(E_F) (states/eV/cell) = 4.52



Record 3
DFT (GGA-PBEsol) results for a geometry-optimized MnBe2Rh structure.

```
data_MnBe2Rh
_chemical_formula_sum 'Mn1 Be2 Rh1'
_space_group_name_H-M_alt 'P 1'
_space_group_IT_number 1
_cell_length_a 2.7356
_cell_length_b 3.7971
_cell_length_c 4.5458
_cell_angle_alpha 114.69
_cell_angle_beta 107.51
_cell_angle_gamma 90.00
loop_
_space_group_symop_operation_xyz
'x,y,z'
loop_
_atom_site_label
_atom_site_type_symbol
_atom_site_fract_x
_atom_site_fract_y
_atom_site_fract_z
_atom_site_occupancy
Mn1 Mn 0.4910 0.9910 0.9820 1
Rh1 Rh 0.2590 0.2590 0.5180 1
Be1 Be 0.0125 0.5125 0.0250 1
Be2 Be 0.7375 0.7375 0.4750 1
```

Properties
- crystal system = orthorhombic
- energy above the lowest structure with this stoichiometry (kcal/mol of atoms) = 3.87
- DFT formation energy (eV per formula unit) = -0.82
- SG = Imm2, No. 44
- DOS(E_F) (states/eV/cell) = 2.65



Record 4
DFT (GGA-PBEsol) results for a geometry-optimized AlIr2AuI structure.

```
data_AlIr2AuI
_chemical_formula_sum 'Al1 Ir2 Au1 I1'
_space_group_name_H-M_alt 'P 1'
_space_group_IT_number 1
_cell_length_a 4.5841
_cell_length_b 4.5841
_cell_length_c 4.6497
_cell_angle_alpha 90.00
_cell_angle_beta 90.00
_cell_angle_gamma 90.00
loop_
_space_group_symop_operation_xyz
'x,y,z'
loop_
_atom_site_label
_atom_site_type_symbol
_atom_site_fract_x
_atom_site_fract_y
_atom_site_fract_z
_atom_site_occupancy
Au1 Au 0.0000 0.0000 0.5000 1
Ir1 Ir 0.0000 0.5000 0.0000 1
Ir2 Ir 0.5000 0.0000 0.0000 1
I1 I 0.5000 0.5000 0.5000 1
Al1 Al 0.0000 0.0000 0.0000 1
```

Properties
- crystal system = tetragonal
- raw formation energy (eV per atom) = 1.08
- SG = P4/mmm, No. 123
- DOS(E_F) (states/eV/cell) = 5.03



Record 5
DFT (GGA-PBEsol) results for a geometry-optimized Ca4Ta2O9 structure.

```
data_Ca4Ta2O9
_chemical_formula_sum 'Ca16 Ta8 O36'
_space_group_name_H-M_alt 'P 1'
_space_group_IT_number 1
_cell_length_a 5.6315
_cell_length_b 9.7618
_cell_length_c 14.6650
_cell_angle_alpha 90.00
_cell_angle_beta 90.00
_cell_angle_gamma 90.00
loop_
_space_group_symop_operation_xyz
'x,y,z'
loop_
_atom_site_label
_atom_site_type_symbol
_atom_site_fract_x
_atom_site_fract_y
_atom_site_fract_z
_atom_site_occupancy
Ta1 Ta 0.4980 0.4969 0.1463 1
Ta2 Ta 0.0020 0.9969 0.8537 1
Ta3 Ta 0.4980 0.5031 0.3537 1
Ta4 Ta 0.5020 0.5031 0.8537 1
Ta5 Ta 0.9980 0.0031 0.1463 1
Ta6 Ta 0.9980 0.9969 0.3537 1
Ta7 Ta 0.5020 0.4969 0.6463 1
Ta8 Ta 0.0020 0.0031 0.6463 1
Ca1 Ca 0.9931 0.3362 0.5126 1
Ca2 Ca 0.4999 0.8355 0.7044 1
Ca3 Ca 0.4931 0.1638 0.5126 1
Ca4 Ca 0.0069 0.3362 0.0126 1
Ca5 Ca 0.4999 0.1645 0.7956 1
Ca6 Ca 0.5001 0.8355 0.2044 1
Ca7 Ca 0.5069 0.1638 0.0126 1
Ca8 Ca 0.9931 0.6638 0.9874 1
Ca9 Ca 0.5001 0.1645 0.2956 1
Ca10 Ca 0.5069 0.8362 0.4874 1
Ca11 Ca 0.0001 0.3355 0.2956 1
Ca12 Ca 0.4931 0.8362 0.9874 1
Ca13 Ca 0.9999 0.6645 0.7044 1
Ca14 Ca 0.0069 0.6638 0.4874 1
Ca15 Ca 0.9999 0.3355 0.7956 1
Ca16 Ca 0.0001 0.6645 0.2044 1
O1 O 0.8128 0.4850 0.9073 1
O2 O 0.3380 0.6595 0.5983 1
O3 O 0.1872 0.5150 0.0927 1
O4 O 0.6620 0.6595 0.0983 1
O5 O 0.8380 0.1595 0.9017 1
O6 O 0.1311 0.8687 0.7539 1
O7 O 0.2432 0.5000 0.7500 1
O8 O 0.3557 0.6460 0.9181 1
O9 O 0.3689 0.6313 0.2539 1
O10 O 0.6872 0.0150 0.4073 1
O11 O 0.6443 0.3540 0.0819 1
O12 O 0.1872 0.4850 0.4073 1
O13 O 0.8557 0.8540 0.9181 1
O14 O 0.3557 0.3540 0.5819 1
O15 O 0.3128 0.0150 0.9073 1
O16 O 0.3128 0.9850 0.5927 1
O17 O 0.8689 0.8687 0.2539 1
O18 O 0.6620 0.3405 0.4017 1
O19 O 0.6311 0.3687 0.7461 1
O20 O 0.1311 0.1313 0.7461 1
O21 O 0.1620 0.8405 0.0983 1
O22 O 0.7432 0.0000 0.7500 1
O23 O 0.8689 0.1313 0.2461 1
O24 O 0.8128 0.5150 0.5927 1
O25 O 0.1620 0.1595 0.4017 1
O26 O 0.6311 0.6313 0.7539 1
O27 O 0.1443 0.1460 0.0819 1
O28 O 0.3689 0.3687 0.2461 1
O29 O 0.1443 0.8540 0.4181 1
O30 O 0.8380 0.8405 0.5983 1
O31 O 0.7568 0.5000 0.2500 1
O32 O 0.6443 0.6460 0.4181 1
O33 O 0.2568 0.0000 0.2500 1
O34 O 0.6872 0.9850 0.0927 1
O35 O 0.8557 0.1460 0.5819 1
O36 O 0.3380 0.3405 0.9017 1
```

Properties
- crystal system = orthorhombic
- energy above the lowest structure with this stoichiometry (kcal/mol of atoms) = 1.27
- raw formation energy (eV per atom) = -3.05
- SG = Pbcn, No. 60
- DOS(E_F) (states/eV/cell) = 0.00



Record 6
DFT (GGA-PBEsol) results for a geometry-optimized HfZn3Cl structure.

```
data_HfZn3Cl
_chemical_formula_sum 'Hf1 Zn3 Cl1'
_space_group_name_H-M_alt 'P 1'
_space_group_IT_number 1
_cell_length_a 4.6412
_cell_length_b 4.6412
_cell_length_c 4.6412
_cell_angle_alpha 90.00
_cell_angle_beta 90.00
_cell_angle_gamma 90.00
loop_
_space_group_symop_operation_xyz
'x,y,z'
loop_
_atom_site_label
_atom_site_type_symbol
_atom_site_fract_x
_atom_site_fract_y
_atom_site_fract_z
_atom_site_occupancy
Cl1 Cl 0.0000 0.0000 0.0000 1
Zn1 Zn 0.0000 0.5000 0.0000 1
Zn2 Zn 0.0000 0.0000 0.5000 1
Zn3 Zn 0.5000 0.0000 0.0000 1
Hf1 Hf 0.5000 0.5000 0.5000 1
```

Properties
- crystal system = cubic
- raw formation energy (eV per atom) = 0.83
- SG = Pm-3m, No. 221
- DOS(E_F) (states/eV/cell) = 5.77



Record 7
DFT (GGA-PBEsol) results for a geometry-optimized Sr4NbAlO8 structure.

```
data_Sr4NbAlO8
_chemical_formula_sum 'Sr16 Nb4 Al4 O32'
_space_group_name_H-M_alt 'P 1'
_space_group_IT_number 1
_cell_length_a 5.8250
_cell_length_b 7.1529
_cell_length_c 19.6569
_cell_angle_alpha 97.44
_cell_angle_beta 90.00
_cell_angle_gamma 90.00
loop_
_space_group_symop_operation_xyz
'x,y,z'
loop_
_atom_site_label
_atom_site_type_symbol
_atom_site_fract_x
_atom_site_fract_y
_atom_site_fract_z
_atom_site_occupancy
Al1 Al 0.2820 0.7324 0.4432 1
Al2 Al 0.2180 0.7324 0.9432 1
Al3 Al 0.7180 0.2676 0.5568 1
Al4 Al 0.7820 0.2676 0.0568 1
Sr1 Sr 0.7870 0.1383 0.7089 1
Sr2 Sr 0.2204 0.2892 0.4538 1
Sr3 Sr 0.2796 0.2892 0.9538 1
Sr4 Sr 0.7204 0.7108 0.0462 1
Sr5 Sr 0.7796 0.7108 0.5462 1
Sr6 Sr 0.2490 0.4998 0.6351 1
Sr7 Sr 0.7510 0.5002 0.3649 1
Sr8 Sr 0.2485 0.9744 0.0963 1
Sr9 Sr 0.2515 0.9744 0.5963 1
Sr10 Sr 0.2510 0.4998 0.1351 1
Sr11 Sr 0.7485 0.0256 0.4037 1
Sr12 Sr 0.2130 0.8617 0.2911 1
Sr13 Sr 0.2870 0.8617 0.7911 1
Sr14 Sr 0.7515 0.0256 0.9037 1
Sr15 Sr 0.7130 0.1383 0.2089 1
Sr16 Sr 0.7490 0.5002 0.8649 1
O1 O 0.0148 0.7999 0.6797 1
O2 O 0.4852 0.7999 0.1797 1
O3 O 0.6972 0.3401 0.9772 1
O4 O 0.8417 0.0583 0.5779 1
O5 O 0.6583 0.0583 0.0779 1
O6 O 0.5148 0.2001 0.8203 1
O7 O 0.3417 0.9417 0.9221 1
O8 O 0.8028 0.3401 0.4772 1
O9 O 0.7961 0.4505 0.6251 1
O10 O 0.9655 0.7902 0.1595 1
O11 O 0.9856 0.4957 0.7568 1
O12 O 0.4159 0.2492 0.5571 1
O13 O 0.5841 0.7508 0.4429 1
O14 O 0.2961 0.5495 0.8749 1
O15 O 0.3028 0.6599 0.0228 1
O16 O 0.2039 0.5495 0.3749 1
O17 O 0.0841 0.2492 0.0571 1
O18 O 0.7191 0.8220 0.7959 1
O19 O 0.1972 0.6599 0.5228 1
O20 O 0.5144 0.4957 0.2568 1
O21 O 0.9852 0.2001 0.3203 1
O22 O 0.0345 0.2098 0.8405 1
O23 O 0.2809 0.1780 0.2041 1
O24 O 0.1583 0.9417 0.4221 1
O25 O 0.2191 0.1780 0.7041 1
O26 O 0.7039 0.4505 0.1251 1
O27 O 0.4655 0.2098 0.3405 1
O28 O 0.7809 0.8220 0.2959 1
O29 O 0.0144 0.5043 0.2432 1
O30 O 0.9159 0.7508 0.9429 1
O31 O 0.5345 0.7902 0.6595 1
O32 O 0.4856 0.5043 0.7432 1
Nb1 Nb 0.2596 0.3385 0.7890 1
Nb2 Nb 0.7404 0.6615 0.2110 1
Nb3 Nb 0.2404 0.3385 0.2890 1
Nb4 Nb 0.7596 0.6615 0.7110 1
```

Properties
- crystal system = monoclinic
- raw formation energy (eV per atom) = -2.93
- SG = P2_1/c, No. 14
- DOS(E_F) (states/eV/cell) = 0.00



Record 8
DFT (GGA-PBEsol) results for a geometry-optimized KFe2Os structure.

```
data_KFe2Os
_chemical_formula_sum 'K1 Fe2 Os1'
_space_group_name_H-M_alt 'P 1'
_space_group_IT_number 1
_cell_length_a 2.6989
_cell_length_b 2.6989
_cell_length_c 9.9467
_cell_angle_alpha 82.20
_cell_angle_beta 82.20
_cell_angle_gamma 60.00
loop_
_space_group_symop_operation_xyz
'x,y,z'
loop_
_atom_site_label
_atom_site_type_symbol
_atom_site_fract_x
_atom_site_fract_y
_atom_site_fract_z
_atom_site_occupancy
K1 K 0.5000 0.5000 0.5000 1
Os1 Os 0.0000 0.0000 0.0000 1
Fe1 Fe 0.7357 0.7357 0.7930 1
Fe2 Fe 0.2643 0.2643 0.2070 1
```

Properties
- crystal system = trigonal
- energy above the lowest structure with this stoichiometry (kcal/mol of atoms) = 3.19
- DFT formation energy (eV per formula unit) = 3.60
- SG = R-3m, No. 166
- DOS(E_F) (states/eV/cell) = 3.35



Record 9
DFT (GGA-PBEsol) results for a geometry-optimized Cd3CoRe structure.

```
data_Cd3CoRe
_chemical_formula_sum 'Cd3 Co1 Re1'
_space_group_name_H-M_alt 'P 1'
_space_group_IT_number 1
_cell_length_a 5.0853
_cell_length_b 5.0853
_cell_length_c 5.0853
_cell_angle_alpha 90.00
_cell_angle_beta 90.00
_cell_angle_gamma 90.00
loop_
_space_group_symop_operation_xyz
'x,y,z'
loop_
_atom_site_label
_atom_site_type_symbol
_atom_site_fract_x
_atom_site_fract_y
_atom_site_fract_z
_atom_site_occupancy
Co1 Co 0.5000 0.5000 0.5000 1
Cd1 Cd 0.5000 0.0000 0.0000 1
Cd2 Cd 0.0000 0.0000 0.5000 1
Cd3 Cd 0.0000 0.5000 0.0000 1
Re1 Re 0.0000 0.0000 0.0000 1
```

Properties
- crystal system = cubic
- DFT formation energy (eV per formula unit) = 9.26
- SG = Pm-3m, No. 221
- DOS(E_F) (states/eV/cell) = 6.24